Compound: BeSb2P
Source: the Alexandria database
Functional: PBE
Structure: optimized geometry

abc: 4.8031 4.8031 4.8031
angles: 60.00 60.00 60.00
Sites, in units of the cell vectors:
Be 0.0000 0.0000 0.0000
Sb 0.2500 0.2500 0.2500
Sb 0.7500 0.7500 0.7500
P 0.5000 0.5000 0.5000

total DFT energy (no corrections): -0.2721 Ry/atom
energy relative to the elements, uncorrected: 0.643 eV/atom
D(E_F): 1.90 states/eV/cell
SG: Fm-3m
relative energy among the computed polymorphs: 477 meV per atom


Compound: BeSb2P
Source: the Alexandria database
Functional: PBE
Structure: optimized geometry

abc: 5.4025 5.4025 2.9681
angles: 91.34 91.34 90.00
Sites, in units of the cell vectors:
Be 0.0000 0.0000 0.0000
Sb 0.0000 0.5000 0.0000
Sb 0.5000 0.0000 0.0000
P 0.5000 0.5000 0.0000

total DFT energy (no corrections): -0.2870 Ry/atom
energy relative to the elements, uncorrected: 0.440 eV/atom
D(E_F): 1.11 states/eV/cell
SG: C2/m
relative energy among the computed polymorphs: 274 meV per atom


Compound: BeSb2P
Source: the Alexandria database
Functional: PBE
Structure: optimized geometry

abc: 7.2107 7.2107 7.2107
angles: 132.25 132.25 69.84
Sites, in units of the cell vectors:
Be 0.0000 0.0000 0.0000
Be 0.7500 0.2500 0.5000
Sb 0.0868 0.6250 0.9618
Sb 0.3750 0.3368 0.4618
Sb 0.6632 0.1250 0.0382
Sb 0.8750 0.9132 0.5382
P 0.2500 0.7500 0.5000
P 0.5000 0.5000 0.0000

total DFT energy (no corrections): -0.3025 Ry/atom
energy relative to the elements, uncorrected: 0.229 eV/atom
D(E_F): 5.37 states/eV/cell
SG: I-42d
relative energy among the computed polymorphs: 63 meV per atom


Compound: BeSb2P
Source: the Alexandria database
Functional: PBE
Structure: optimized geometry

abc: 6.1233 6.1233 6.1233
angles: 147.63 136.80 55.00
Sites, in units of the cell vectors:
Be 0.0000 0.0000 0.0000
Sb 0.2319 0.7319 0.5000
Sb 0.5421 0.5421 0.0000
P 0.8802 0.3802 0.5000

total DFT energy (no corrections): -0.2953 Ry/atom
energy relative to the elements, uncorrected: 0.328 eV/atom
D(E_F): 1.88 states/eV/cell
SG: Imm2
relative energy among the computed polymorphs: 162 meV per atom


Compound: BeSb2P
Source: the Alexandria database
Functional: PBE
Structure: optimized geometry

abc: 2.9841 3.7654 7.5675
angles: 90.00 97.90 90.00
Sites, in units of the cell vectors:
Be 0.0000 0.0000 0.0000
Sb 0.1091 0.5000 0.7727
Sb 0.8909 0.5000 0.2273
P 0.0000 0.0000 0.5000

total DFT energy (no corrections): -0.2869 Ry/atom
energy relative to the elements, uncorrected: 0.442 eV/atom
D(E_F): 1.59 states/eV/cell
SG: P2/m
relative energy among the computed polymorphs: 276 meV per atom


Compound: BeSb2P
Source: the Alexandria database
Functional: PBE
Structure: optimized geometry

abc: 5.7118 5.7118 5.9715
angles: 120.93 120.93 36.96
Sites, in units of the cell vectors:
Be 0.0000 0.0000 0.0000
Sb 0.3080 0.3080 0.7221
Sb 0.4602 0.4602 0.2991
P 0.6153 0.6153 0.0732

total DFT energy (no corrections): -0.3005 Ry/atom
energy relative to the elements, uncorrected: 0.257 eV/atom
D(E_F): 0.77 states/eV/cell
SG: Cm
relative energy among the computed polymorphs: 91 meV per atom


Compound: BeSb2P
Source: the Alexandria database
Functional: PBE
Structure: optimized geometry

abc: 3.7553 5.3908 4.2576
angles: 90.00 93.80 90.00
Sites, in units of the cell vectors:
Be 0.0000 0.0000 0.0000
Sb 0.0690 0.5000 0.9418
Sb 0.5973 0.0000 0.4596
P 0.5366 0.5000 0.5252

total DFT energy (no corrections): -0.2985 Ry/atom
energy relative to the elements, uncorrected: 0.284 eV/atom
D(E_F): 0.99 states/eV/cell
SG: Pm
relative energy among the computed polymorphs: 118 meV per atom


Compound: BeSb2P
Source: the Alexandria database
Functional: PBE
Structure: optimized geometry

abc: 3.1076 3.1076 9.0351
angles: 90.00 90.00 90.00
Sites, in units of the cell vectors:
Be 0.0000 0.0000 0.0000
Sb 0.0000 0.0000 0.2757
Sb 0.5000 0.5000 0.6442
P 0.5000 0.5000 0.9280

total DFT energy (no corrections): -0.3072 Ry/atom
energy relative to the elements, uncorrected: 0.166 eV/atom
D(E_F): 2.22 states/eV/cell
SG: P4mm
relative energy among the computed polymorphs: 0 meV per atom


Question: What is the D(E_F) in the seventh record?
Answer: 0.99 states/eV/cell


Question: The lowest total DFT energy (no corrections) belongs to which entry?
Answer: number 8


Question: What is the relative energy among the computed polymorphs in the seventh record?
Answer: 118 meV per atom


Question: Which value of D(E_F) does entry 5 give?
Answer: 1.59 states/eV/cell